(1)
# Pm2ZrSe5, optimized geometry, DFT PBE
data_Pm2ZrSe5
_chemical_formula_sum 'Pm8 Zr4 Se20'
_space_group_name_H-M_alt 'P 1'
_space_group_IT_number 1
_cell_length_a 7.733
_cell_length_b 8.284
_cell_length_c 12.266
_cell_angle_alpha 90.00
_cell_angle_beta 90.00
_cell_angle_gamma 90.00
loop_
_space_group_symop_operation_xyz
'x,y,z'
loop_
_atom_site_label
_atom_site_type_symbol
_atom_site_fract_x
_atom_site_fract_y
_atom_site_fract_z
_atom_site_occupancy
Se1 Se 0.163 0.538 0.090 1
Se2 Se 0.165 0.750 0.819 1
Se3 Se 0.185 0.250 0.793 1
Se4 Se 0.837 0.038 0.910 1
Se5 Se 0.663 0.462 0.410 1
Se6 Se 0.337 0.962 0.590 1
Se7 Se 0.335 0.750 0.319 1
Se8 Se 0.337 0.538 0.590 1
Se9 Se 0.447 0.250 0.004 1
Se10 Se 0.665 0.250 0.681 1
Se11 Se 0.685 0.750 0.707 1
Se12 Se 0.315 0.250 0.293 1
Se13 Se 0.835 0.250 0.181 1
Se14 Se 0.053 0.250 0.504 1
Se15 Se 0.947 0.750 0.496 1
Se16 Se 0.663 0.038 0.410 1
Se17 Se 0.837 0.462 0.910 1
Se18 Se 0.163 0.962 0.090 1
Se19 Se 0.553 0.750 0.996 1
Se20 Se 0.815 0.750 0.207 1
Zr1 Zr 0.421 0.250 0.507 1
Zr2 Zr 0.921 0.750 0.993 1
Zr3 Zr 0.079 0.250 0.007 1
Zr4 Zr 0.579 0.750 0.493 1
Pm1 Pm 0.972 0.503 0.678 1
Pm2 Pm 0.472 0.497 0.822 1
Pm3 Pm 0.028 0.497 0.322 1
Pm4 Pm 0.472 0.003 0.822 1
Pm5 Pm 0.528 0.997 0.178 1
Pm6 Pm 0.028 0.003 0.322 1
Pm7 Pm 0.528 0.503 0.178 1
Pm8 Pm 0.972 0.997 0.678 1
# - Calculated total energy: -6.126 eV per atom
# - M_tot: 0.00 μB/f.u.
# - Raw formation energy: -1.69 eV/atom
# - Energy relative to the lowest polymorph listed for this composition: 0.0 kJ per mole of atoms

(2)
# Pm5Zr2Se12, optimized geometry, DFT PBE
data_Pm5Zr2Se12
_chemical_formula_sum 'Pm5 Zr2 Se12'
_space_group_name_H-M_alt 'P 1'
_space_group_IT_number 1
_cell_length_a 7.505
_cell_length_b 9.004
_cell_length_c 9.333
_cell_angle_alpha 105.36
_cell_angle_beta 90.00
_cell_angle_gamma 114.63
loop_
_space_group_symop_operation_xyz
'x,y,z'
loop_
_atom_site_label
_atom_site_type_symbol
_atom_site_fract_x
_atom_site_fract_y
_atom_site_fract_z
_atom_site_occupancy
Pm1 Pm 0.705 0.411 0.359 1
Pm2 Pm 0.314 0.628 0.166 1
Pm3 Pm 0.000 0.000 0.500 1
Pm4 Pm 0.686 0.372 0.834 1
Pm5 Pm 0.295 0.589 0.641 1
Se1 Se 0.572 0.659 0.910 1
Se2 Se 0.428 0.341 0.090 1
Se3 Se 0.086 0.659 0.910 1
Se4 Se 0.994 0.989 0.193 1
Se5 Se 0.504 0.009 0.215 1
Se6 Se 0.105 0.706 0.434 1
Se7 Se 0.496 0.991 0.785 1
Se8 Se 0.895 0.294 0.566 1
Se9 Se 0.914 0.341 0.090 1
Se10 Se 0.600 0.706 0.434 1
Se11 Se 0.006 0.011 0.807 1
Se12 Se 0.400 0.294 0.566 1
Zr1 Zr 0.745 0.000 0.000 1
Zr2 Zr 0.255 0.000 0.000 1
# - Calculated total energy: -5.958 eV per atom
# - M_tot: 0.00 μB/f.u.
# - Raw formation energy: -1.61 eV/atom

(3)
# PmSi3, optimized geometry, DFT PBE
data_PmSi3
_chemical_formula_sum 'Pm2 Si6'
_space_group_name_H-M_alt 'P 1'
_space_group_IT_number 1
_cell_length_a 6.081
_cell_length_b 6.081
_cell_length_c 4.801
_cell_angle_alpha 90.00
_cell_angle_beta 90.00
_cell_angle_gamma 120.00
loop_
_space_group_symop_operation_xyz
'x,y,z'
loop_
_atom_site_label
_atom_site_type_symbol
_atom_site_fract_x
_atom_site_fract_y
_atom_site_fract_z
_atom_site_occupancy
Si1 Si 0.135 0.865 0.250 1
Si2 Si 0.865 0.730 0.750 1
Si3 Si 0.730 0.865 0.250 1
Si4 Si 0.270 0.135 0.750 1
Si5 Si 0.865 0.135 0.750 1
Si6 Si 0.135 0.270 0.250 1
Pm1 Pm 0.667 0.333 0.250 1
Pm2 Pm 0.333 0.667 0.750 1
# - Calculated total energy: -5.552 eV per atom
# - M_tot: 0.00 μB/f.u.
# - Raw formation energy: -0.30 eV/atom
# - Energy relative to the lowest polymorph listed for this composition: 0.0 kJ per mole of atoms

(4)
# Pm2Si3, optimized geometry, DFT PBE
data_Pm2Si3
_chemical_formula_sum 'Pm8 Si12'
_space_group_name_H-M_alt 'P 1'
_space_group_IT_number 1
_cell_length_a 8.548
_cell_length_b 8.548
_cell_length_c 8.548
_cell_angle_alpha 109.47
_cell_angle_beta 109.47
_cell_angle_gamma 109.47
loop_
_space_group_symop_operation_xyz
'x,y,z'
loop_
_atom_site_label
_atom_site_type_symbol
_atom_site_fract_x
_atom_site_fract_y
_atom_site_fract_z
_atom_site_occupancy
Si1 Si 0.010 0.750 0.260 1
Si2 Si 0.260 0.250 0.010 1
Si3 Si 0.760 0.510 0.750 1
Si4 Si 0.250 0.490 0.740 1
Si5 Si 0.740 0.990 0.250 1
Si6 Si 0.240 0.750 0.490 1
Si7 Si 0.490 0.250 0.240 1
Si8 Si 0.990 0.740 0.750 1
Si9 Si 0.750 0.240 0.990 1
Si10 Si 0.750 0.010 0.760 1
Si11 Si 0.510 0.760 0.250 1
Si12 Si 0.250 0.260 0.510 1
Pm1 Pm 0.500 0.585 0.500 1
Pm2 Pm 0.415 0.915 0.915 1
Pm3 Pm 0.000 0.000 0.585 1
Pm4 Pm 0.500 0.085 0.500 1
Pm5 Pm 0.915 0.415 0.415 1
Pm6 Pm 0.085 0.500 0.000 1
Pm7 Pm 0.585 0.500 0.000 1
Pm8 Pm 0.000 0.000 0.085 1
# - Calculated total energy: -5.545 eV per atom
# - M_tot: 0.00 μB/f.u.
# - Raw formation energy: -0.39 eV/atom
# - Energy relative to the lowest polymorph listed for this composition: 29.0 kJ per mole of atoms